[1]
La2Te3 | meta-GGA SCAN | PBEsol geometry

**ΔE_f (raw)**: -1784 meV/atom
**Total DFT energy (no corrections)**: -41.377 eV per atom
**V**: 1291.5 Å³ per cell

abc: 9.5023 9.5023 15.8030
angles: 107.50 107.50 90.00
With the nearest neighbours (Å) after each atom.
Sites, in units of the cell vectors:
Te 0.6591 0.9048 0.9699  5 La 3.20-3.37
Te 0.9726 0.7250 0.2970  5 La 3.20-3.35, 1 Te 3.56
Te 0.6049 0.0111 0.3641  6 La 3.24-3.42, 3 Te 3.56-3.59
Te 0.3244 0.5720 0.2970  5 La 3.20-3.35, 1 Te 3.56
Te 0.4280 0.0274 0.7030  5 La 3.20-3.35, 1 Te 3.56
Te 0.1548 0.4091 0.4699  5 La 3.20-3.37
Te 0.3108 0.0650 0.9699  5 La 3.20-3.37
Te 0.9750 0.7226 0.7970  5 La 3.20-3.35, 1 Te 3.56
Te 0.6451 0.3970 0.1359  6 La 3.24-3.42, 3 Te 3.56-3.59
Te 0.0952 0.6892 0.0301  5 La 3.20-3.37
Te 0.8220 0.0744 0.7970  5 La 3.20-3.35, 1 Te 3.56
Te 0.3150 0.0608 0.4699  5 La 3.20-3.37
Te 0.5909 0.6850 0.5301  5 La 3.20-3.37
Te 0.9392 0.8452 0.5301  5 La 3.20-3.37
Te 0.7591 0.3530 0.3641  6 La 3.24-3.42, 3 Te 3.56-3.59
Te 0.9350 0.3409 0.0301  5 La 3.20-3.37
Te 0.6030 0.5091 0.8641  6 La 3.24-3.42, 3 Te 3.56-3.59
Te 0.6470 0.3951 0.6359  6 La 3.24-3.42, 3 Te 3.56-3.59
Te 0.4909 0.7389 0.1359  6 La 3.24-3.42, 3 Te 3.56-3.59
Te 0.2611 0.3549 0.8641  6 La 3.24-3.42, 3 Te 3.56-3.59
Te 0.2774 0.1780 0.2030  5 La 3.20-3.35, 1 Te 3.56
Te 0.9256 0.0250 0.2030  5 La 3.20-3.35, 1 Te 3.56
Te 0.2750 0.6756 0.7030  5 La 3.20-3.35, 1 Te 3.56
Te 0.9889 0.2409 0.6359  6 La 3.24-3.42, 3 Te 3.56-3.59
La 0.4545 0.3398 0.4189  8 Te 3.20-3.42
La 0.3326 0.3326 0.6651  8 Te 3.21-3.36
La 0.6250 0.7552 0.7500  8 Te 3.22-3.39
La 0.3291 0.7145 0.9189  8 Te 3.20-3.42
La 0.9209 0.5455 0.5811  8 Te 3.20-3.42
La 0.7955 0.6709 0.0811  8 Te 3.20-3.42
La 0.2855 0.4102 0.0811  8 Te 3.20-3.42
La 0.1250 0.9948 0.7500  8 Te 3.22-3.39
La 0.0052 0.3750 0.2500  8 Te 3.22-3.39
La 0.6602 0.0355 0.5811  8 Te 3.20-3.42
La 0.2448 0.8750 0.2500  8 Te 3.22-3.39
La 0.5898 0.2045 0.9189  8 Te 3.20-3.42
La 0.5826 0.0826 0.1651  8 Te 3.21-3.36
La 0.9645 0.0791 0.4189  8 Te 3.20-3.42
La 0.9174 0.4174 0.8349  8 Te 3.21-3.36
La 0.6674 0.6674 0.3349  8 Te 3.21-3.36

***

[2]
BaLaAs2 | meta-GGA SCAN | PBEsol geometry

**ΔE to the lowest computed polymorph**: 0.000 eV/atom
**Total DFT energy (no corrections)**: -31.958 eV per atom
**V**: 108.6 Å³ per cell

abc: 3.3860 3.9757 8.0646
angles: 90.00 90.00 90.00
With the nearest neighbours (Å) after each atom.
Sites, in units of the cell vectors:
La 0.5000 0.5000 0.0000  8 As 3.20, 2 La 3.39
As 0.0000 0.0000 0.7702  4 La 3.20, 2 As 3.39, 4 Ba 3.40
As 0.0000 0.0000 0.2298  4 La 3.20, 2 As 3.39, 4 Ba 3.40
Ba 0.5000 0.5000 0.5000  2 Ba 3.39, 8 As 3.40

***

[3]
HfCrB2 | meta-GGA SCAN | PBEsol geometry

**Total DFT energy (no corrections)**: -23.807 eV per atom
**V**: 98.3 Å³ per cell

abc: 3.7766 3.7766 7.3926
angles: 104.80 104.80 90.00
With the nearest neighbours (Å) after each atom.
Sites, in units of the cell vectors:
Cr 0.5000 0.5000 0.0000  4 B 1.97
Cr 0.7500 0.2500 0.5000  4 B 1.97
Hf 0.0000 0.0000 0.0000  4 Cr 2.67, 8 B 2.73
Hf 0.2500 0.7500 0.5000  4 Cr 2.67, 8 B 2.73
B 0.6250 0.3750 0.2500  2 B 1.89, 2 Cr 1.97
B 0.1250 0.3750 0.7500  2 B 1.89, 2 Cr 1.97
B 0.6250 0.3750 0.7500  2 B 1.89, 2 Cr 1.97
B 0.6250 0.8750 0.2500  2 B 1.89, 2 Cr 1.97

***

[4]
La2Sc2In | meta-GGA SCAN | PBEsol geometry

**Total DFT energy (no corrections)**: -29.220 eV per atom
**V**: 141.1 Å³ per cell

abc: 4.2202 4.2202 8.4644
angles: 104.44 104.44 90.00
With the nearest neighbours (Å) after each atom.
Sites, in units of the cell vectors:
La 0.2500 0.7500 0.5000  4 La 2.98
La 0.7500 0.2500 0.5000  4 La 2.98
In 0.0000 0.0000 0.0000  8 Sc 3.26
Sc 0.4179 0.4179 0.8358  1 Sc 2.60
Sc 0.5821 0.5821 0.1642  1 Sc 2.60

***

[5]
ZrTcAs | meta-GGA SCAN | PBEsol geometry

**Total DFT energy (no corrections)**: -28.803 eV per atom
**V**: 51.1 Å³ per cell

abc: 3.0225 3.0225 6.2645
angles: 98.69 98.69 111.96
With the nearest neighbours (Å) after each atom.
Sites, in units of the cell vectors:
Tc 0.6565 0.6565 0.3130  2 As 2.46, 2 Zr 2.74
As 0.0081 0.0081 0.0162  2 Tc 2.46, 2 Zr 2.68
Zr 0.3354 0.3354 0.6708  2 As 2.68, 2 Tc 2.74

***

[6]
Ba2SrCa | meta-GGA SCAN | PBEsol geometry

**ΔE to the lowest computed polymorph**: 0.007 eV/atom
**Total DFT energy (no corrections)**: -27.727 eV per atom
**V**: 206.8 Å³ per cell

abc: 4.0827 4.0827 12.8484
angles: 90.00 90.00 105.05
With the nearest neighbours (Å) after each atom.
Sites, in units of the cell vectors:
Ba 0.5000 0.5000 0.7374  2 Ca 3.97, 6 Ba 4.08-4.23
Ba 0.0000 0.0000 0.0039  6 Ba 4.08-4.23, 2 Sr 4.15
Sr 0.5000 0.5000 0.2623  2 Ca 3.90, 4 Sr 4.08, 2 Ba 4.15
Ca 0.0000 0.0000 0.4965  2 Sr 3.90, 2 Ba 3.97, 4 Ca 4.08

***

[7]
Na3Fe2Ge3O12 | meta-GGA SCAN | PBEsol geometry

**ΔE_f (raw)**: -1694 meV/atom
**Total DFT energy (no corrections)**: -10.741 eV per atom
**V**: 859.6 Å³ per cell

abc: 10.3747 10.3747 10.3747
angles: 109.47 109.47 109.47
With the nearest neighbours (Å) after each atom.
Sites, in units of the cell vectors:
O 0.3226 0.0144 0.4031  1 Ge 1.77, 1 Fe 1.86
O 0.5805 0.1918 0.6774  1 Ge 1.77, 1 Fe 1.86
O 0.8082 0.9856 0.3887  1 Ge 1.77, 1 Fe 1.86
O 0.5969 0.1113 0.4195  1 Ge 1.77, 1 Fe 1.86
O 0.1774 0.5969 0.9856  1 Ge 1.77, 1 Fe 1.86
O 0.8226 0.4031 0.0144  1 Ge 1.77, 1 Fe 1.86
O 0.6918 0.0805 0.1774  1 Ge 1.77, 1 Fe 1.86
O 0.1918 0.1774 0.0805  1 Ge 1.77, 1 Fe 1.86
O 0.3226 0.3082 0.4195  1 Ge 1.77, 1 Fe 1.86
O 0.9031 0.5805 0.8887  1 Ge 1.77, 1 Fe 1.86
O 0.6774 0.9856 0.5969  1 Ge 1.77, 1 Fe 1.86
O 0.1113 0.9195 0.0969  1 Ge 1.77, 1 Fe 1.86
O 0.8082 0.8226 0.9195  1 Ge 1.77, 1 Fe 1.86
O 0.4856 0.1774 0.0969  1 Ge 1.77, 1 Fe 1.86
O 0.0144 0.1113 0.6918  1 Ge 1.77, 1 Fe 1.86
O 0.9856 0.8887 0.3082  1 Ge 1.77, 1 Fe 1.86
O 0.8887 0.8082 0.4856  1 Ge 1.77, 1 Fe 1.86
O 0.0969 0.4195 0.1113  1 Ge 1.77, 1 Fe 1.86
O 0.8226 0.4195 0.3082  1 Ge 1.77, 1 Fe 1.86
O 0.5144 0.6918 0.1113  1 Ge 1.77, 1 Fe 1.86
O 0.3082 0.9195 0.8226  1 Ge 1.77, 1 Fe 1.86
O 0.5144 0.8226 0.9031  1 Ge 1.77, 1 Fe 1.86
O 0.4031 0.5144 0.3226  1 Ge 1.77, 1 Fe 1.86
O 0.0969 0.6774 0.4856  1 Ge 1.77, 1 Fe 1.86
O 0.1918 0.0144 0.6113  1 Ge 1.77, 1 Fe 1.86
O 0.4195 0.6113 0.5969  1 Ge 1.77, 1 Fe 1.86
O 0.1113 0.1918 0.5144  1 Ge 1.77, 1 Fe 1.86
O 0.6113 0.0969 0.9195  1 Ge 1.77, 1 Fe 1.86
O 0.9195 0.3226 0.8082  1 Ge 1.77, 1 Fe 1.86
O 0.9031 0.3226 0.5144  1 Ge 1.77, 1 Fe 1.86
O 0.6113 0.5144 0.1918  1 Ge 1.77, 1 Fe 1.86
O 0.0144 0.9031 0.8226  1 Ge 1.77, 1 Fe 1.86
O 0.6918 0.6113 0.0144  1 Ge 1.77, 1 Fe 1.86
O 0.9856 0.0969 0.1774  1 Ge 1.77, 1 Fe 1.86
O 0.5969 0.4856 0.6774  1 Ge 1.77, 1 Fe 1.86
O 0.4195 0.8082 0.3226  1 Ge 1.77, 1 Fe 1.86
O 0.3887 0.4856 0.8082  1 Ge 1.77, 1 Fe 1.86
O 0.8887 0.0805 0.9031  1 Ge 1.77, 1 Fe 1.86
O 0.4856 0.3082 0.8887  1 Ge 1.77, 1 Fe 1.86
O 0.1774 0.5805 0.6918  1 Ge 1.77, 1 Fe 1.86
O 0.3887 0.9031 0.0805  1 Ge 1.77, 1 Fe 1.86
O 0.0805 0.6774 0.1918  1 Ge 1.77, 1 Fe 1.86
O 0.9195 0.5969 0.6113  1 Ge 1.77, 1 Fe 1.86
O 0.5805 0.3887 0.4031  1 Ge 1.77, 1 Fe 1.86
O 0.3082 0.3887 0.9856  1 Ge 1.77, 1 Fe 1.86
O 0.0805 0.4031 0.3887  1 Ge 1.77, 1 Fe 1.86
O 0.4031 0.8887 0.5805  1 Ge 1.77, 1 Fe 1.86
O 0.6774 0.6918 0.5805  1 Ge 1.77, 1 Fe 1.86
Na 0.6250 0.7500 0.3750  8 O 2.35-2.47
Na 0.1250 0.7500 0.8750  8 O 2.35-2.47
Na 0.2500 0.1250 0.8750  8 O 2.35-2.47
Na 0.7500 0.8750 0.1250  8 O 2.35-2.47
Na 0.8750 0.2500 0.1250  8 O 2.35-2.47
Na 0.6250 0.8750 0.7500  8 O 2.35-2.47
Na 0.7500 0.3750 0.6250  8 O 2.35-2.47
Na 0.3750 0.1250 0.2500  8 O 2.35-2.47
Na 0.8750 0.6250 0.2500  8 O 2.35-2.47
Na 0.3750 0.2500 0.6250  8 O 2.35-2.47
Na 0.1250 0.3750 0.7500  8 O 2.35-2.47
Na 0.2500 0.6250 0.3750  8 O 2.35-2.47
Fe 0.0000 0.0000 0.0000  6 O 1.86
Fe 0.0000 0.0000 0.5000  6 O 1.86
Fe 0.5000 0.5000 0.5000  6 O 1.86
Fe 0.0000 0.5000 0.5000  6 O 1.86
Fe 0.0000 0.5000 0.0000  6 O 1.86
Fe 0.5000 0.0000 0.5000  6 O 1.86
Fe 0.5000 0.5000 0.0000  6 O 1.86
Fe 0.5000 0.0000 0.0000  6 O 1.86
Ge 0.2500 0.8750 0.6250  4 O 1.77
Ge 0.8750 0.7500 0.6250  4 O 1.77
Ge 0.7500 0.1250 0.3750  4 O 1.77
Ge 0.3750 0.7500 0.1250  4 O 1.77
Ge 0.1250 0.2500 0.3750  4 O 1.77
Ge 0.7500 0.6250 0.8750  4 O 1.77
Ge 0.6250 0.2500 0.8750  4 O 1.77
Ge 0.1250 0.8750 0.2500  4 O 1.77
Ge 0.2500 0.3750 0.1250  4 O 1.77
Ge 0.3750 0.6250 0.7500  4 O 1.77
Ge 0.8750 0.1250 0.7500  4 O 1.77
Ge 0.6250 0.3750 0.2500  4 O 1.77

***

[8]
NaAuIO2 | meta-GGA SCAN | PBEsol geometry

**ΔE_f (raw)**: 434 meV/atom
**ΔE to the lowest computed polymorph**: 0.552 eV/atom
**Total DFT energy (no corrections)**: -24.081 eV per atom
**V**: 105.6 Å³ per cell

abc: 4.1268 4.1268 6.2027
angles: 90.00 90.00 90.00
With the nearest neighbours (Å) after each atom.
Sites, in units of the cell vectors:
O 0.5000 0.0000 0.0000  2 Na 2.06
O 0.0000 0.5000 0.0000  2 Na 2.06
I 0.0000 0.0000 0.5000  4 Au 2.92, 2 Na 3.10
Na 0.0000 0.0000 0.0000  4 O 2.06
Au 0.5000 0.5000 0.5000  4 I 2.92

***

[9]
SrHIrS2 | meta-GGA SCAN | PBEsol geometry

**Total DFT energy (no corrections)**: -21.592 eV per atom
**V**: 180.6 Å³ per cell

abc: 5.6090 5.6090 5.7399
angles: 90.00 90.00 90.00
With the nearest neighbours (Å) after each atom.
Sites, in units of the cell vectors:
Ir 0.0000 0.0000 0.5000  2 Sr 2.87
S 0.5000 0.0000 0.0000  2 Sr 2.80
S 0.0000 0.5000 0.0000  2 Sr 2.80
Sr 0.0000 0.0000 0.0000  4 S 2.80, 2 Ir 2.87
H 0.5000 0.5000 0.5000  4 Ir 3.97, 8 S 4.01

***

[10]
TlZn2CrAu | meta-GGA SCAN | PBEsol geometry

**Total DFT energy (no corrections)**: -37.125 eV per atom
**V**: 117.0 Å³ per cell

abc: 4.7957 4.7957 5.0856
angles: 90.00 90.00 90.00
With the nearest neighbours (Å) after each atom.
Sites, in units of the cell vectors:
Zn 0.0000 0.5000 0.0000  2 Au 2.40
Zn 0.5000 0.0000 0.0000  2 Au 2.40
Au 0.0000 0.0000 0.0000  4 Zn 2.40, 2 Cr 2.54
Tl 0.5000 0.5000 0.5000  4 Cr 3.39, 8 Zn 3.50
Cr 0.0000 0.0000 0.5000  2 Au 2.54

***

Please write out number 4 again, unchanged.
La2Sc2In | meta-GGA SCAN | PBEsol geometry

**Total DFT energy (no corrections)**: -29.220 eV per atom
**V**: 141.1 Å³ per cell

abc: 4.2202 4.2202 8.4644
angles: 104.44 104.44 90.00
With the nearest neighbours (Å) after each atom.
Sites, in units of the cell vectors:
La 0.2500 0.7500 0.5000  4 La 2.98
La 0.7500 0.2500 0.5000  4 La 2.98
In 0.0000 0.0000 0.0000  8 Sc 3.26
Sc 0.4179 0.4179 0.8358  1 Sc 2.60
Sc 0.5821 0.5821 0.1642  1 Sc 2.60

***

> Among the records above, which one has the lowest V?

ZrTcAs

***

> Which of these has the lowest total DFT energy (no corrections)?

La2Te3